LiSmGaPt3 | GGA-PBE | relaxed

```
12
Lattice="2.8550 -6.4856 0.0000 2.8550 6.4856 0.0000 0.0000 0.0000 5.7727" Properties=species:S:1:pos:R:3 pbc="T T T"
Li 2.8550 4.9427 4.3295
Li 2.8550 -4.9427 1.4432
Sm 2.8550 2.1968 4.3295
Sm 2.8550 -2.1968 1.4432
Ga 2.8550 1.5429 1.4432
Ga 2.8550 -1.5429 4.3295
Pt 2.8550 4.0455 1.4432
Pt 1.3614 0.0000 0.0000
Pt 1.3614 0.0000 2.8863
Pt 4.3486 0.0000 0.0000
Pt 4.3486 0.0000 2.8863
Pt 2.8550 -4.0455 4.3295
```

Values from the calculation:
The energy of formation comes out at -0.72 eV/atom. Its space group is No. 63.